A relaxed structure of BeB3Sb, computed with GGA-PBEsol.

Results
Formation energy without anion corrections in eV per atom: 1.572
Space group: Pm-3m (221)

a = 3.8583 Å, b = 3.8583 Å, c = 3.8583 Å
α = 90.00°, β = 90.00°, γ = 90.00°
Sites, in units of the cell vectors:
B 0.0000 0.5000 0.0000
B 0.5000 0.0000 0.0000
Be 0.0000 0.0000 0.0000
Sb 0.5000 0.5000 0.5000
B 0.0000 0.0000 0.5000

A relaxed structure of ScBeB3, computed with GGA-PBEsol.

Results
Formation energy from the elements in kJ/mol of formula units: 336
Space group: Pm-3m (221)

a = 3.6339 Å, b = 3.6339 Å, c = 3.6339 Å
α = 90.00°, β = 90.00°, γ = 90.00°
Sites, in units of the cell vectors:
Sc 0.5000 0.5000 0.5000
Be 0.0000 0.0000 0.0000
B 0.0000 0.5000 0.0000
B 0.0000 0.0000 0.5000
B 0.5000 0.0000 0.0000

A relaxed structure of Sc2BeB, computed with GGA-PBEsol.

Results
Formation energy from the elements in kJ/mol of formula units: 221
Space group: R-3m (166)

a = 3.0967 Å, b = 3.0967 Å, c = 8.7326 Å
α = 79.79°, β = 79.79°, γ = 60.00°
Sites, in units of the cell vectors:
Sc 0.8927 0.8927 0.3219
Sc 0.1073 0.1073 0.6781
Be 0.0000 0.0000 0.0000
B 0.5000 0.5000 0.5000

A relaxed structure of ScBeB2, computed with GGA-PBEsol.

Results
Formation energy from the elements in kJ/mol of formula units: -68
Space group: I4_1/amd (141)

a = 3.6233 Å, b = 3.6233 Å, c = 6.8466 Å
α = 105.34°, β = 105.34°, γ = 90.00°
Sites, in units of the cell vectors:
Sc 0.0000 0.0000 0.0000
Sc 0.2500 0.7500 0.5000
Be 0.5000 0.5000 0.0000
B 0.6250 0.8750 0.2500
B 0.6250 0.3750 0.7500
B 0.6250 0.3750 0.2500
Be 0.7500 0.2500 0.5000
B 0.1250 0.3750 0.7500

A relaxed structure of BeBSe2, computed with GGA-PBEsol.

Results
Formation energy without anion corrections in eV per atom: 1.032
Space group: Fm-3m (225)
Energy above the most stable polymorph in this dataset in meV/atom: 949

a = 4.2835 Å, b = 4.2835 Å, c = 4.2835 Å
α = 60.00°, β = 60.00°, γ = 60.00°
Sites, in units of the cell vectors:
B 0.5000 0.5000 0.5000
Se 0.2500 0.2500 0.2500
Se 0.7500 0.7500 0.7500
Be 0.0000 0.0000 0.0000

A relaxed structure of BeB2Se, computed with GGA-PBEsol.

Results
Formation energy without anion corrections in eV per atom: 0.809
Space group: I-42d (122)

a = 4.7692 Å, b = 5.4559 Å, c = 4.7692 Å
α = 64.08°, β = 90.00°, γ = 115.92°
Sites, in units of the cell vectors:
Se 0.7500 0.5000 0.7500
Be 0.2500 0.5000 0.2500
B 0.8750 0.2500 0.6098
Se 0.0000 0.0000 0.0000
Be 0.5000 0.0000 0.5000
B 0.3750 0.2500 0.1402
B 0.1402 0.7500 0.8750
B 0.6098 0.7500 0.3750

A relaxed structure of BeBSe2, computed with GGA-PBEsol.

Results
Formation energy without anion corrections in eV per atom: 0.083
Space group: I-42d (122)
Energy above the most stable polymorph in this dataset in meV/atom: 0

a = 4.9754 Å, b = 4.9754 Å, c = 6.1277 Å
α = 113.95°, β = 113.95°, γ = 90.00°
Sites, in units of the cell vectors:
Se 0.1250 0.1095 0.7500
Se 0.8905 0.3750 0.2500
Se 0.3595 0.8750 0.2500
Se 0.6250 0.6405 0.7500
Be 0.5000 0.5000 0.0000
B 0.2500 0.7500 0.5000
B 0.0000 0.0000 0.0000
Be 0.7500 0.2500 0.5000

A relaxed structure of BeBTe3, computed with GGA-PBEsol.

Results
Formation energy without anion corrections in eV per atom: 1.007
Space group: Pm-3m (221)

a = 4.7776 Å, b = 4.7776 Å, c = 4.7776 Å
α = 90.00°, β = 90.00°, γ = 90.00°
Sites, in units of the cell vectors:
Te 0.5000 0.0000 0.0000
Be 0.5000 0.5000 0.5000
Te 0.0000 0.5000 0.0000
B 0.0000 0.0000 0.0000
Te 0.0000 0.0000 0.5000

A relaxed structure of BeB2Te, computed with GGA-PBEsol.

Results
Formation energy without anion corrections in eV per atom: 1.657
Space group: Fm-3m (225)

a = 4.1121 Å, b = 4.1121 Å, c = 4.1121 Å
α = 60.00°, β = 60.00°, γ = 60.00°
Sites, in units of the cell vectors:
B 0.7500 0.7500 0.7500
B 0.2500 0.2500 0.2500
Te 0.5000 0.5000 0.5000
Be 0.0000 0.0000 0.0000

A relaxed structure of TiBeB3, computed with GGA-PBEsol.

Results
Formation energy from the elements in kJ/mol of formula units: 401
Space group: Pm-3m (221)

a = 3.5182 Å, b = 3.5182 Å, c = 3.5182 Å
α = 90.00°, β = 90.00°, γ = 90.00°
Sites, in units of the cell vectors:
B 0.5000 0.0000 0.0000
B 0.0000 0.5000 0.0000
B 0.0000 0.0000 0.5000
Be 0.0000 0.0000 0.0000
Ti 0.5000 0.5000 0.5000

A relaxed structure of U4Be51B, computed with GGA-PBEsol.

Results
Formation energy from the elements in kJ/mol of formula units: -277
Space group: R-3 (148)

a = 7.1334 Å, b = 7.1334 Å, c = 12.3763 Å
α = 73.25°, β = 73.25°, γ = 60.00°
Sites, in units of the cell vectors:
Be 0.3963 0.0442 0.3948
Be 0.3153 0.9702 0.9705
Be 0.0442 0.1647 0.3948
Be 0.5000 0.5000 0.5000
Be 0.0831 0.2026 0.8572
Be 0.6638 0.8959 0.8974
B 0.0000 0.0000 0.0000
Be 0.7058 0.3543 0.3539
U 0.1247 0.1247 0.6259
Be 0.1647 0.3963 0.3948
Be 0.4139 0.2942 0.6461
Be 0.2026 0.8571 0.8572
U 0.8753 0.8753 0.3741
Be 0.0134 0.7794 0.7807
Be 0.4571 0.3362 0.1026
Be 0.7440 0.3153 0.9705
Be 0.4878 0.7198 0.7207
Be 0.7974 0.1429 0.1428
Be 0.5861 0.7058 0.3539
Be 0.6037 0.9558 0.6052
Be 0.6847 0.0298 0.0295
Be 0.1041 0.4571 0.1026
Be 0.6457 0.4139 0.6461
Be 0.7198 0.0717 0.7207
Be 0.3543 0.5861 0.3539
Be 0.8571 0.0831 0.8572
Be 0.8353 0.6037 0.6052
Be 0.9283 0.5122 0.2793
Be 0.1768 0.5302 0.5300
U 0.6253 0.6253 0.1241
Be 0.2942 0.6457 0.6461
Be 0.9866 0.2206 0.2193
Be 0.8959 0.5429 0.8974
Be 0.7495 0.7495 0.7515
Be 0.8232 0.4698 0.4700
Be 0.2206 0.5736 0.2193
Be 0.0717 0.4878 0.7207
Be 0.5302 0.7630 0.5300
Be 0.7794 0.4264 0.7807
Be 0.1429 0.9169 0.1428
Be 0.5122 0.2802 0.2793
Be 0.9702 0.7440 0.9705
Be 0.4698 0.2370 0.4700
Be 0.5429 0.6638 0.8974
Be 0.0298 0.2560 0.0295
Be 0.9558 0.8353 0.6052
Be 0.3362 0.1041 0.1026
Be 0.2560 0.6847 0.0295
Be 0.2802 0.9283 0.2793
Be 0.7630 0.1768 0.5300
Be 0.2370 0.8232 0.4700
Be 0.4264 0.0134 0.7807
Be 0.5736 0.9866 0.2193
Be 0.2505 0.2505 0.2485
Be 0.9169 0.7974 0.1428
U 0.3747 0.3747 0.8759

A relaxed structure of Y3BeB, computed with GGA-PBEsol.

Results
Formation energy from the elements in kJ/mol of formula units: 447
Space group: Pm-3m (221)

a = 4.9472 Å, b = 4.9472 Å, c = 4.9472 Å
α = 90.00°, β = 90.00°, γ = 90.00°
Sites, in units of the cell vectors:
Be 0.0000 0.0000 0.0000
Y 0.0000 0.0000 0.5000
Y 0.5000 0.0000 0.0000
B 0.5000 0.5000 0.5000
Y 0.0000 0.5000 0.0000

A relaxed structure of ZrBeB2, computed with GGA-PBEsol.

Results
Formation energy from the elements in kJ/mol of formula units: -76
Space group: I4_1/amd (141)

a = 3.6395 Å, b = 3.6395 Å, c = 6.8309 Å
α = 105.45°, β = 105.45°, γ = 90.00°
Sites, in units of the cell vectors:
Be 0.5000 0.5000 0.0000
B 0.1250 0.3750 0.7500
Zr 0.0000 0.0000 0.0000
Be 0.7500 0.2500 0.5000
B 0.6250 0.3750 0.7500
B 0.6250 0.3750 0.2500
B 0.6250 0.8750 0.2500
Zr 0.2500 0.7500 0.5000

A relaxed structure of ZrBeB, computed with GGA-PBEsol.

Results
Formation energy from the elements in kJ/mol of formula units: -178
Space group: P-6m2 (187)

a = 3.3976 Å, b = 3.3976 Å, c = 3.4499 Å
α = 90.00°, β = 90.00°, γ = 120.00°
Sites, in units of the cell vectors:
Be 0.6667 0.3333 0.5000
B 0.3333 0.6667 0.5000
Zr 0.0000 0.0000 0.0000

A relaxed structure of ZrBe2B2, computed with GGA-PBEsol.

Results
Formation energy from the elements in kJ/mol of formula units: -291
Space group: I4/mmm (139)

a = 3.3012 Å, b = 3.3012 Å, c = 4.8161 Å
α = 110.04°, β = 110.04°, γ = 90.00°
Sites, in units of the cell vectors:
Be 0.7500 0.2500 0.5000
B 0.6065 0.6065 0.2130
B 0.3935 0.3935 0.7870
Be 0.2500 0.7500 0.5000
Zr 0.0000 0.0000 0.0000

A relaxed structure of BiBBr2, computed with GGA-PBEsol.

Results
Formation energy without anion corrections in eV per atom: 0.506
Space group: R-3m (166)
Energy above the most stable polymorph in this dataset in meV/atom: 0

a = 3.4393 Å, b = 3.4393 Å, c = 10.1873 Å
α = 80.28°, β = 80.28°, γ = 60.00°
Sites, in units of the cell vectors:
Br 0.9394 0.9394 0.1819
Br 0.0606 0.0606 0.8181
B 0.0000 0.0000 0.0000
Bi 0.5000 0.5000 0.5000

A relaxed structure of BiBBr2, computed with GGA-PBEsol.

Results
Formation energy without anion corrections in eV per atom: 0.784
Space group: Fd-3m (227)
Energy above the most stable polymorph in this dataset in meV/atom: 278

a = 6.8286 Å, b = 6.8286 Å, c = 6.8286 Å
α = 60.00°, β = 60.00°, γ = 60.00°
Sites, in units of the cell vectors:
Bi 0.2500 0.2500 0.2500
B 0.7500 0.7500 0.7500
Bi 0.0000 0.0000 0.0000
Br 0.6250 0.6250 0.6250
B 0.5000 0.5000 0.5000
Br 0.1250 0.6250 0.6250
Br 0.6250 0.1250 0.6250
Br 0.6250 0.6250 0.1250

A relaxed structure of Bi3BC, computed with GGA-PBEsol.

Results
Formation energy from the elements in kJ/mol of formula units: 816
Space group: Pm-3m (221)

a = 4.8877 Å, b = 4.8877 Å, c = 4.8877 Å
α = 90.00°, β = 90.00°, γ = 90.00°
Sites, in units of the cell vectors:
Bi 0.0000 0.5000 0.0000
C 0.0000 0.0000 0.0000
Bi 0.5000 0.0000 0.0000
Bi 0.0000 0.0000 0.5000
B 0.5000 0.5000 0.5000

A relaxed structure of BiB2CN, computed with GGA-PBEsol.

Results
Formation energy without anion corrections in eV per atom: 2.028
Space group: P4/mmm (123)

a = 3.1777 Å, b = 3.1777 Å, c = 6.8560 Å
α = 90.00°, β = 90.00°, γ = 90.00°
Sites, in units of the cell vectors:
C 0.5000 0.5000 0.5000
B 0.5000 0.0000 0.0000
Bi 0.0000 0.0000 0.5000
B 0.0000 0.5000 0.0000
N 0.0000 0.0000 0.0000

A relaxed structure of Ca2BiB, computed with GGA-PBEsol.

Results
Formation energy from the elements in kJ/mol of formula units: 106
Space group: I-42d (122)

a = 6.3131 Å, b = 6.4478 Å, c = 6.4478 Å
α = 76.13°, β = 60.69°, γ = 60.69°
Sites, in units of the cell vectors:
Bi 0.7500 0.5000 0.5000
Ca 0.3750 0.4403 0.0597
Ca 0.8750 0.5597 0.9403
Ca 0.5653 0.0597 0.5597
Bi 0.0000 0.0000 0.0000
B 0.5000 0.0000 0.0000
B 0.2500 0.5000 0.5000
Ca 0.1847 0.9403 0.4403

A relaxed structure of Ca2BiBH, computed with GGA-PBEsol.

Results
Space group: P4/mmm (123)
Calculated total energy in eV per cell: -17.82

a = 3.4418 Å, b = 5.4902 Å, c = 5.4902 Å
α = 90.00°, β = 90.00°, γ = 90.00°
Sites, in units of the cell vectors:
Ca 0.0000 0.0000 0.5000
Ca 0.0000 0.5000 0.0000
B 0.0000 0.0000 0.0000
H 0.5000 0.0000 0.0000
Bi 0.5000 0.5000 0.5000

A relaxed structure of SrCa2BiB, computed with GGA-PBEsol.

Results
Formation energy from the elements in kJ/mol of formula units: 356
Space group: P4/mmm (123)

a = 5.8489 Å, b = 5.8489 Å, c = 6.2530 Å
α = 90.00°, β = 90.00°, γ = 90.00°
Sites, in units of the cell vectors:
Ca 0.0000 0.5000 0.0000
Bi 0.0000 0.0000 0.0000
Sr 0.0000 0.0000 0.5000
B 0.5000 0.5000 0.5000
Ca 0.5000 0.0000 0.0000

A relaxed structure of CaZrBi2B, computed with GGA-PBEsol.

Results
Formation energy from the elements in kJ/mol of formula units: 259
Space group: P4/mmm (123)

a = 4.6473 Å, b = 5.0879 Å, c = 5.0879 Å
α = 90.00°, β = 90.00°, γ = 90.00°
Sites, in units of the cell vectors:
B 0.0000 0.0000 0.0000
Zr 0.5000 0.5000 0.5000
Bi 0.0000 0.0000 0.5000
Ca 0.5000 0.0000 0.0000
Bi 0.0000 0.5000 0.0000

A relaxed structure of CdBiB2, computed with GGA-PBEsol.

Results
Formation energy from the elements in kJ/mol of formula units: 477
Space group: I-42d (122)

a = 5.4779 Å, b = 5.4779 Å, c = 6.4585 Å
α = 115.09°, β = 115.09°, γ = 90.00°
Sites, in units of the cell vectors:
B 0.6250 0.6160 0.7500
B 0.8660 0.3750 0.2500
Cd 0.7500 0.2500 0.5000
Cd 0.5000 0.5000 0.0000
Bi 0.0000 0.0000 0.0000
B 0.3840 0.8750 0.2500
B 0.1250 0.1340 0.7500
Bi 0.2500 0.7500 0.5000

A relaxed structure of CdBiB3, computed with GGA-PBEsol.

Results
Formation energy from the elements in kJ/mol of formula units: 1005
Space group: Pm-3m (221)

a = 4.4128 Å, b = 4.4128 Å, c = 4.4128 Å
α = 90.00°, β = 90.00°, γ = 90.00°
Sites, in units of the cell vectors:
B 0.5000 0.0000 0.0000
Bi 0.5000 0.5000 0.5000
B 0.0000 0.0000 0.5000
Cd 0.0000 0.0000 0.0000
B 0.0000 0.5000 0.0000